The following is a meta-GGA SCAN calculation of a PBEsol-optimized structure of TlIn2Hg, from Alexandria.

Unit cell a=5.235 b=5.235 c=5.235 alpha=60.00 beta=60.00 gamma=60.00
Element x y z (fractional)
Tl 0.500 0.500 0.500
Hg 0.000 0.000 0.000
In 0.250 0.250 0.250
In 0.750 0.750 0.750

Calculated values
* energy of formation: 67 meV/atom